Crystalline TaIn2Br at its relaxed geometry, computed with PBE-GGA.

Geometry as extended XYZ:
```
8
Lattice="9.7265 0.0000 0.0000 0.0000 9.7265 0.0000 4.8633 4.8633 2.5101" Properties=species:S:1:pos:R:3 pbc="T T T"
Ta 9.7265 4.8633 1.2550
Br 4.8633 9.7265 1.2550
In 7.2949 6.2747 1.8825
In 1.4114 7.2949 0.6275
In 12.1582 13.1784 1.8825
Br 4.8633 4.8633 0.0000
In 8.3151 2.4316 0.6275
Ta 0.0000 0.0000 0.0000
```

**DOS at the Fermi energy**: 0.766 states/eV/atom
**Magnetic moment**: 0.0000 μB/atom
**Raw formation energy**: 574 meV per atom